Tb2PmPr4Mg | PBE-GGA | relaxed

Structure (POSCAR):
```
Tb2PmPr4Mg
1.0
5.8359 0.0000 0.0000
0.0000 5.8441 0.0000
0.0000 0.0000 7.8392
Tb Pm Pr Mg
2 1 4 1
Cartesian
0.0000 0.0000 0.0000 Tb
2.9180 2.9221 3.9196 Tb
0.0000 0.0000 3.9196 Pm
0.0000 2.9221 1.8318 Pr
0.0000 2.9221 6.0075 Pr
2.9180 0.0000 1.8423 Pr
2.9180 0.0000 5.9969 Pr
2.9180 2.9221 0.0000 Mg
```

formation energy from the elements: 58 meV per atom
M_tot: 0.00 Bohr magnetons per cell